# 1
Pr5Sc2Ge4 after structural relaxation. Source: Alexandria, functional PBE-GGA.

Size of the total moment = 0.00 μB per formula unit
Formation enthalpy at 0 K = -0.56 eV/atom
ρ = 5.8 Mg/m³

a = 4.2526 Å, b = 7.2810 Å, c = 10.8792 Å
α = 109.57°, β = 101.27°, γ = 90.00°
Last column: nearest neighbours and their distance in Å.
Element x y z (fractional)
Pr1 0.5000 0.0000 0.0000  4 Ge 3.11
Pr2 0.8358 0.6077 0.6715  4 Ge 3.03-3.35, 1 Pr 3.32
Pr3 0.1643 0.9358 0.3286  4 Ge 3.03-3.35, 1 Pr 3.32
Pr4 0.8357 0.0642 0.6714  4 Ge 3.03-3.35, 1 Pr 3.32
Pr5 0.1642 0.3923 0.3285  4 Ge 3.03-3.35, 1 Pr 3.32
Ge1 0.9999 0.3119 0.9998  1 Ge 2.74, 4 Sc 2.91
Ge2 0.0001 0.6881 0.0002  1 Ge 2.74, 4 Sc 2.91
Ge3 0.2934 0.2935 0.5868  1 Sc 2.70
Ge4 0.7066 0.7065 0.4132  1 Sc 2.70
Sc1 0.5721 0.5717 0.1442  5 Ge 2.70-2.91, 1 Sc 2.89
Sc2 0.4279 0.4283 0.8558  5 Ge 2.70-2.91, 1 Sc 2.89

# 2
KReSi2 after structural relaxation. Source: Alexandria, functional PBE-GGA.

Size of the total moment = 0.00 μB per formula unit
ρ = 6.1 Mg/m³
E_form (uncorrected) = 0.30 eV per formula unit

a = 3.1316 Å, b = 3.1316 Å, c = 7.8178 Å
α = 90.00°, β = 90.00°, γ = 90.01°
Last column: nearest neighbours and their distance in Å.
Element x y z (fractional)
Re1 0.5000 0.5000 0.7500  8 Si 2.58
Si1 0.0000 0.0000 0.5810  4 Re 2.58, 1 Si 2.64
Si2 0.0000 0.0000 0.9190  4 Re 2.58, 1 Si 2.64
K1 0.5000 0.5000 0.2500  4 K 3.13, 8 Si 3.41

# 3
Sm5HoGa6 after structural relaxation. Source: Alexandria, functional PBE-GGA.

Size of the total moment = 0.00 μB per formula unit
Formation enthalpy at 0 K = -0.57 eV/atom
ρ = 7.7 Mg/m³

a = 5.1361 Å, b = 8.8979 Å, c = 8.9073 Å
α = 60.04°, β = 73.19°, γ = 54.63°
Last column: nearest neighbours and their distance in Å.
Element x y z (fractional)
Sm1 0.0000 0.3348 0.3304  8 Ga 3.16-3.18
Sm2 0.5000 0.1697 0.6607  8 Ga 3.12-3.16
Sm3 0.5000 0.5000 0.0000  8 Ga 3.14-3.18
Sm4 0.5000 0.8303 0.3393  8 Ga 3.12-3.16
Sm5 0.0000 0.6652 0.6696  8 Ga 3.16-3.18
Ga1 0.2451 0.9192 0.6714  1 Ho 3.10, 7 Sm 3.12-3.18
Ga2 0.7549 0.0808 0.3286  1 Ho 3.10, 7 Sm 3.12-3.18
Ga3 0.7407 0.7591 0.0000  2 Ho 3.10-3.11, 6 Sm 3.15-3.18
Ga4 0.2593 0.2409 0.0000  2 Ho 3.10-3.11, 6 Sm 3.15-3.18
Ga5 0.7549 0.4095 0.6714  1 Ho 3.10, 7 Sm 3.12-3.18
Ga6 0.2451 0.5905 0.3286  1 Ho 3.10, 7 Sm 3.12-3.18
Ho1 0.0000 0.0000 0.0000  8 Ga 3.10-3.11